{"formula": "PrNdHg4", "functional": "PBE", "state": "relaxed", "total_energy_ev_per_atom": -2.2150, "e_above_lowest_polymorph_ev_per_atom": 0.011, "formation_energy_ev_per_fu": -2.5, "cell": [[4.068, 0.012, -0.529], [-0.019, 5.329, -0.027], [-1.073, 0.035, 7.607]], "species": ["Pr", "Nd", "Hg", "Hg", "Hg", "Hg"], "fractional_positions": [[0.647, 0.497, 0.040], [0.855, 0.997, 0.456], [0.186, 0.997, 0.116], [0.520, 0.997, 0.788], [0.981, 0.497, 0.705], [0.318, 0.497, 0.383]]}